1.
A geometry-optimized Ba3InPb3 structure, computed with PBE.

Cell: 5.311 7.044 16.151 Å, 83.38 80.54 67.86°
Atoms (fractional coordinates):
1 Pb 0.855 0.741 0.549
2 Pb 0.890 0.143 0.076
3 Pb 0.145 0.259 0.451
4 Pb 0.017 0.195 0.771
5 Pb 0.983 0.805 0.229
6 Pb 0.110 0.857 0.924
7 Ba 0.730 0.770 0.770
8 Ba 0.523 0.337 0.617
9 Ba 0.398 0.281 0.923
10 Ba 0.602 0.719 0.077
11 Ba 0.270 0.230 0.230
12 Ba 0.477 0.663 0.383
13 In 0.222 0.948 0.608
14 In 0.778 0.052 0.392

Calculated values
The value obtained for the energy of formation from the pure elements is -0.534 eV/atom.

=====

2.
A geometry-optimized Sc2ZnRuPb structure, computed with PBE.

Cell: 5.369 4.965 5.369 Å, 90.00 90.00 90.00°
Atoms (fractional coordinates):
1 Zn 0.500 0.500 0.500
2 Sc 0.500 0.000 0.000
3 Sc 0.000 0.000 0.500
4 Pb 0.000 0.000 0.000
5 Ru 0.000 0.500 0.000

Calculated values
The value obtained for the energy of formation from the pure elements is 0.984 eV/atom.

=====

3.
A geometry-optimized Cr8Fe2CuNiS16 structure, computed with PBE.

Cell: 12.060 12.060 12.060 Å, 33.55 33.55 33.55°
Atoms (fractional coordinates):
1 S 0.371 0.371 0.371
2 S 0.862 0.862 0.396
3 S 0.636 0.107 0.636
4 S 0.890 0.366 0.366
5 S 0.628 0.628 0.628
6 S 0.136 0.606 0.136
7 S 0.606 0.136 0.136
8 S 0.366 0.890 0.366
9 S 0.366 0.366 0.890
10 S 0.130 0.130 0.130
11 S 0.107 0.636 0.636
12 S 0.862 0.396 0.862
13 S 0.396 0.862 0.862
14 S 0.636 0.636 0.107
15 S 0.872 0.872 0.872
16 S 0.136 0.136 0.606
17 Fe 0.437 0.437 0.437
18 Fe 0.938 0.938 0.938
19 Cr 0.750 0.750 0.750
20 Cr 0.498 0.002 0.002
21 Cr 0.249 0.249 0.249
22 Cr 0.501 0.996 0.501
23 Cr 0.996 0.501 0.501
24 Cr 0.002 0.498 0.002
25 Cr 0.002 0.002 0.498
26 Cr 0.501 0.501 0.996
27 Cu 0.063 0.063 0.063
28 Ni 0.562 0.562 0.562

Calculated values
The uncorrected formation energy comes out at -0.635 eV/atom.

=====

4.
A geometry-optimized Eu2GeF structure, computed with PBE.

Cell: 3.430 3.430 7.624 Å, 90.00 90.00 90.00°
Atoms (fractional coordinates):
1 Eu 0.000 0.000 0.759
2 Eu 0.000 0.000 0.241
3 Ge 0.500 0.500 0.500
4 F 0.500 0.500 0.000

Calculated values
The energy relative to the lowest polymorph listed for this composition comes out at 0.1230 eV per atom. The uncorrected formation energy comes out at -1.433 eV/atom.

=====

5.
A geometry-optimized EuCd3Rh structure, computed with PBE.

Cell: 5.182 5.182 5.182 Å, 90.00 90.00 90.00°
Atoms (fractional coordinates):
1 Cd 0.000 0.000 0.500
2 Cd 0.500 0.000 0.000
3 Cd 0.000 0.500 0.000
4 Rh 0.000 0.000 0.000
5 Eu 0.500 0.500 0.500

Calculated values
The value obtained for the energy of formation from the pure elements is -0.143 eV/atom.

=====

6.
A geometry-optimized CaPSCl2 structure, computed with PBE.

Cell: 5.180 5.180 5.800 Å, 90.00 90.00 90.00°
Atoms (fractional coordinates):
1 P 0.500 0.500 0.500
2 Ca 0.000 0.000 0.000
3 Cl 0.500 0.000 0.000
4 Cl 0.000 0.500 0.000
5 S 0.000 0.000 0.500

Calculated values
The energy relative to the lowest polymorph listed for this composition comes out at 0.4563 eV per atom. The uncorrected formation energy comes out at -0.259 eV/atom.

=====

7.
A geometry-optimized AcLaEr2Se4 structure, computed with PBE.

Cell: 4.103 7.603 7.139 Å, 71.87 90.00 90.00°
Atoms (fractional coordinates):
1 La 0.000 0.500 0.500
2 Er 0.000 0.000 0.000
3 Er 0.500 0.000 0.500
4 Se 0.000 0.219 0.264
5 Se 0.500 0.222 0.756
6 Se 0.500 0.778 0.244
7 Se 0.000 0.781 0.736
8 Ac 0.500 0.500 0.000

Calculated values
The uncorrected formation energy comes out at -1.814 eV/atom.

=====

8.
A geometry-optimized Nd2Ga3NiIr4 structure, computed with PBE.

Cell: 4.216 4.216 10.382 Å, 90.00 90.00 90.00°
Atoms (fractional coordinates):
1 Ir 0.000 0.500 0.368
2 Ir 0.000 0.000 0.000
3 Ir 0.500 0.500 0.000
4 Ir 0.500 0.000 0.632
5 Ni 0.500 0.500 0.500
6 Ga 0.500 0.000 0.870
7 Ga 0.000 0.500 0.130
8 Ga 0.000 0.000 0.500
9 Nd 0.000 0.500 0.751
10 Nd 0.500 0.000 0.249

Calculated values
The value obtained for the energy of formation from the pure elements is -0.587 eV/atom.

=====

9.
A geometry-optimized UCdIn2O8 structure, computed with PBE.

Cell: 5.037 5.030 6.810 Å, 86.98 93.01 91.61°
Atoms (fractional coordinates):
1 O 0.186 0.812 0.763
2 O 0.200 0.798 0.211
3 O 0.800 0.202 0.789
4 O 0.697 0.699 0.000
5 O 0.814 0.188 0.237
6 O 0.312 0.310 0.500
7 O 0.688 0.690 0.500
8 O 0.303 0.301 0.000
9 Cd 0.000 0.000 0.500
10 U 0.000 0.000 0.000
11 In 0.489 0.511 0.749
12 In 0.511 0.489 0.251

Calculated values
The uncorrected formation energy comes out at -1.669 eV/atom.

=====

10.
A geometry-optimized PuHg4Bi structure, computed with PBE.

Cell: 6.103 6.103 6.103 Å, 60.00 60.00 60.00°
Atoms (fractional coordinates):
1 Hg 0.625 0.625 0.625
2 Hg 0.625 0.124 0.625
3 Hg 0.124 0.625 0.625
4 Hg 0.625 0.625 0.124
5 Bi 0.000 0.000 0.000
6 Pu 0.250 0.250 0.250

Calculated values
The energy relative to the lowest polymorph listed for this composition comes out at 0.1546 eV per atom. The value obtained for the energy of formation from the pure elements is 0.030 eV/atom.

=====

11.
A geometry-optimized Zn2WBr structure, computed with PBE.

Cell: 3.031 4.799 4.799 Å, 90.00 90.00 90.00°
Atoms (fractional coordinates):
1 W 0.500 0.000 0.500
2 Zn 0.000 0.500 0.500
3 Zn 0.000 0.000 0.000
4 Br 0.500 0.500 0.000

Calculated values
The energy relative to the lowest polymorph listed for this composition comes out at 0.3424 eV per atom. The uncorrected formation energy comes out at 0.731 eV/atom.

=====

12.
A geometry-optimized BaNi3As2 structure, computed with PBE.

Cell: 3.939 7.891 7.930 Å, 112.13 90.00 104.45°
Atoms (fractional coordinates):
1 As 0.188 0.376 0.657
2 As 0.472 0.945 0.764
3 As 0.812 0.624 0.343
4 As 0.528 0.055 0.236
5 Ni 0.954 0.909 0.600
6 Ni 0.688 0.376 0.454
7 Ni 0.586 0.172 0.635
8 Ni 0.414 0.828 0.365
9 Ni 0.312 0.624 0.546
10 Ni 0.046 0.091 0.400
11 Ba 0.855 0.711 0.941
12 Ba 0.145 0.289 0.059

Calculated values
The value obtained for the energy of formation from the pure elements is -0.531 eV/atom.

=====

13.
A geometry-optimized PuNpRhO6 structure, computed with PBE.

Cell: 5.661 5.661 8.555 Å, 90.00 90.00 120.00°
Atoms (fractional coordinates):
1 O 0.669 0.986 0.375
2 O 0.014 0.683 0.375
3 O 0.683 0.669 0.625
4 O 0.669 0.683 0.125
5 O 0.331 0.014 0.625
6 O 0.014 0.331 0.125
7 O 0.317 0.331 0.375
8 O 0.986 0.669 0.875
9 O 0.683 0.014 0.875
10 O 0.331 0.317 0.875
11 O 0.986 0.317 0.625
12 O 0.317 0.986 0.125
13 Pu 0.333 0.667 0.750
14 Pu 0.667 0.333 0.250
15 Np 0.667 0.333 0.750
16 Np 0.333 0.667 0.250
17 Rh 0.000 0.000 0.000
18 Rh 0.000 0.000 0.500

Calculated values
The uncorrected formation energy comes out at -2.126 eV/atom.

=====

14.
A geometry-optimized Sm3DyTh2Sb6 structure, computed with PBE.

Cell: 4.478 8.931 9.998 Å, 102.98 102.94 90.00°
Atoms (fractional coordinates):
1 Sb 0.667 0.585 0.333
2 Sb 0.001 0.755 0.003
3 Sb 0.335 0.920 0.670
4 Sb 0.333 0.415 0.667
5 Sb 0.999 0.245 0.997
6 Sb 0.665 0.080 0.330
7 Th 0.165 0.331 0.330
8 Th 0.835 0.669 0.670
9 Sm 0.833 0.166 0.666
10 Sm 0.500 0.500 0.000
11 Sm 0.167 0.834 0.334
12 Dy 0.500 0.000 0.000

Calculated values
The uncorrected formation energy comes out at -1.091 eV/atom.

=====

15.
A geometry-optimized LiTeAs2 structure, computed with PBE.

Cell: 5.206 5.206 5.206 Å, 127.69 127.69 77.12°
Atoms (fractional coordinates):
1 Li 0.500 0.500 0.000
2 Te 0.750 0.250 0.500
3 As 0.250 0.750 0.500
4 As 0.000 0.000 0.000

Calculated values
The uncorrected formation energy comes out at 0.084 eV/atom.

=====

16.
A geometry-optimized NpMnSb structure, computed with PBE.

Cell: 5.084 3.886 7.051 Å, 74.00 90.00 90.00°
Atoms (fractional coordinates):
1 Mn 0.000 0.000 0.000
2 Mn 0.500 0.000 0.000
3 Np 0.750 0.845 0.310
4 Np 0.250 0.155 0.690
5 Sb 0.750 0.611 0.779
6 Sb 0.250 0.389 0.221

Calculated values
The uncorrected formation energy comes out at 0.151 eV/atom.

=====

17.
A geometry-optimized GdPaZn2 structure, computed with PBE.

Cell: 3.224 5.274 5.274 Å, 90.00 90.00 90.00°
Atoms (fractional coordinates):
1 Gd 0.500 0.000 0.000
2 Zn 0.000 0.000 0.500
3 Zn 0.000 0.500 0.000
4 Pa 0.500 0.500 0.500

Calculated values
The energy relative to the lowest polymorph listed for this composition comes out at 0.0414 eV per atom. The value obtained for the energy of formation from the pure elements is -0.070 eV/atom.

=====

18.
A geometry-optimized UCrBr6 structure, computed with PBE.

Cell: 6.910 6.910 7.410 Å, 62.20 62.20 59.99°
Atoms (fractional coordinates):
1 Cr 0.000 0.000 0.000
2 Br 0.386 0.757 0.757
3 Br 0.243 0.900 0.243
4 Br 0.900 0.614 0.243
5 Br 0.757 0.100 0.757
6 Br 0.100 0.386 0.757
7 Br 0.614 0.243 0.243
8 U 0.500 0.500 0.500

Calculated values
The energy relative to the lowest polymorph listed for this composition comes out at 0.0266 eV per atom. The uncorrected formation energy comes out at -1.016 eV/atom.

=====

19.
A geometry-optimized KCd2Si structure, computed with PBE.

Cell: 4.663 4.663 8.075 Å, 86.11 86.11 37.80°
Atoms (fractional coordinates):
1 Cd 0.507 0.507 0.434
2 Cd 0.993 0.993 0.066
3 Si 0.250 0.250 0.250
4 K 0.750 0.750 0.750

Calculated values
The uncorrected formation energy comes out at 0.222 eV/atom.

=====

20.
A geometry-optimized LaTmIrPt structure, computed with PBE.

Cell: 4.988 4.988 4.988 Å, 60.00 60.00 60.00°
Atoms (fractional coordinates):
1 Ir 0.250 0.250 0.250
2 Tm 0.000 0.000 0.000
3 La 0.500 0.500 0.500
4 Pt 0.750 0.750 0.750

Calculated values
The value obtained for the energy of formation from the pure elements is -0.922 eV/atom.

=====

21.
A geometry-optimized Re4Pb3 structure, computed with PBE.

Cell: 15.846 15.846 15.846 Å, 168.87 168.87 15.76°
Atoms (fractional coordinates):
1 Re 0.880 0.880 0.000
2 Re 0.424 0.424 0.000
3 Re 0.120 0.120 0.000
4 Re 0.576 0.576 0.000
5 Pb 0.306 0.306 0.000
6 Pb 0.000 0.000 0.000
7 Pb 0.694 0.694 0.000

Calculated values
The energy relative to the lowest polymorph listed for this composition comes out at 0.0000 eV per atom. The value obtained for the energy of formation from the pure elements is 0.501 eV/atom.

=====

22.
A geometry-optimized ErAlGa4 structure, computed with PBE.

Cell: 5.461 5.461 5.461 Å, 60.00 60.00 60.00°
Atoms (fractional coordinates):
1 Er 0.000 0.000 0.000
2 Ga 0.625 0.125 0.625
3 Ga 0.625 0.625 0.125
4 Ga 0.625 0.625 0.625
5 Ga 0.125 0.625 0.625
6 Al 0.250 0.250 0.250

Calculated values
The energy relative to the lowest polymorph listed for this composition comes out at 0.1333 eV per atom. The value obtained for the energy of formation from the pure elements is -0.175 eV/atom.

=====

23.
A geometry-optimized CaCd2Si structure, computed with PBE.

Cell: 5.693 5.693 5.693 Å, 49.35 49.35 49.35°
Atoms (fractional coordinates):
1 Si 0.557 0.557 0.557
2 Cd 0.983 0.983 0.983
3 Cd 0.199 0.199 0.199
4 Ca 0.761 0.761 0.761

Calculated values
The uncorrected formation energy comes out at -0.127 eV/atom.

=====

24.
A geometry-optimized TaCuTe2 structure, computed with PBE.

Cell: 7.643 4.825 3.471 Å, 89.81 63.26 129.06°
Atoms (fractional coordinates):
1 Te 0.500 0.000 0.500
2 Te 0.000 0.000 0.000
3 Ta 0.500 0.500 0.000
4 Cu 0.000 0.500 0.500

Calculated values
The uncorrected formation energy comes out at 0.393 eV/atom.

=====

25.
A geometry-optimized CsBi3Au structure, computed with PBE.

Cell: 5.231 5.230 7.449 Å, 69.43 69.44 90.03°
Atoms (fractional coordinates):
1 Au 0.028 0.831 0.650
2 Bi 0.800 0.604 0.104
3 Bi 0.141 0.445 0.423
4 Bi 0.641 0.944 0.423
5 Cs 0.398 0.201 0.910

Calculated values
The energy relative to the lowest polymorph listed for this composition comes out at 0.0000 eV per atom. The value obtained for the energy of formation from the pure elements is -0.168 eV/atom.